First-principles (PBE) data for TiSnIrRu after structural relaxation, as listed in Alexandria. Values from VASP.

```
&SYSTEM
  ibrav = 0, nat = 4, ntyp = 4
/
ATOMIC_SPECIES
Ti 47.87 Ti.upf
Sn 118.71 Sn.upf
Ir 192.22 Ir.upf
Ru 101.07 Ru.upf
ATOMIC_POSITIONS crystal
Ti 0.000 0.000 0.000
Sn 0.500 0.500 0.000
Ir 0.750 0.250 0.500
Ru 0.250 0.750 0.500
CELL_PARAMETERS angstrom
-2.126 2.126 3.516
2.126 -2.126 3.516
2.126 2.126 -3.516
```

Properties
The calculation puts the volume at 15.89 Å³ per atom. The value obtained for the formation energy is -0.545 eV per atom. As for the total moment: 0.0 μB per formula unit. As for the calculated total energy: -8.054 eV/atom.

=====

First-principles (PBE) data for Sn2IrRuW after structural relaxation, as listed in Alexandria. Values from VASP.

```
&SYSTEM
  ibrav = 0, nat = 5, ntyp = 4
/
ATOMIC_SPECIES
Sn 118.71 Sn.upf
Ir 192.22 Ir.upf
Ru 101.07 Ru.upf
W 183.84 W.upf
ATOMIC_POSITIONS crystal
Sn 0.000 0.500 0.000
Sn 0.500 0.000 0.000
Ir 0.000 0.000 0.500
Ru 0.000 0.000 0.000
W 0.500 0.500 0.500
CELL_PARAMETERS angstrom
4.943 0.000 0.000
0.000 4.943 0.000
0.000 0.000 4.795
```

Properties
The calculation puts the volume at 23.43 Å³ per atom. The value obtained for the formation energy is 1.549 eV per atom. As for the total moment: 3.1 μB per formula unit. As for the calculated total energy: -6.270 eV/atom.

=====

First-principles (PBE) data for YSnIrRu after structural relaxation, as listed in Alexandria. Values from VASP.

```
&SYSTEM
  ibrav = 0, nat = 4, ntyp = 4
/
ATOMIC_SPECIES
Y 88.91 Y.upf
Sn 118.71 Sn.upf
Ir 192.22 Ir.upf
Ru 101.07 Ru.upf
ATOMIC_POSITIONS crystal
Y 0.000 0.000 0.000
Sn 0.500 0.500 0.500
Ir 0.750 0.750 0.750
Ru 0.250 0.250 0.250
CELL_PARAMETERS angstrom
0.000 3.317 3.317
3.317 0.000 3.317
3.317 3.317 0.000
```

Properties
The calculation puts the volume at 18.24 Å³ per atom. The value obtained for the formation energy is -0.478 eV per atom. As for the total moment: 0.0 μB per formula unit. As for the calculated total energy: -7.629 eV/atom.

=====

First-principles (PBE) data for ZrSnIrRu after structural relaxation, as listed in Alexandria. Values from VASP.

```
&SYSTEM
  ibrav = 0, nat = 4, ntyp = 4
/
ATOMIC_SPECIES
Zr 91.22 Zr.upf
Sn 118.71 Sn.upf
Ir 192.22 Ir.upf
Ru 101.07 Ru.upf
ATOMIC_POSITIONS crystal
Zr 0.000 0.000 0.000
Sn 0.500 0.500 0.000
Ir 0.750 0.250 0.500
Ru 0.250 0.750 0.500
CELL_PARAMETERS angstrom
-2.192 2.192 3.603
2.192 -2.192 3.603
2.192 2.192 -3.603
```

Properties
The calculation puts the volume at 17.32 Å³ per atom. The value obtained for the formation energy is -0.567 eV per atom. As for the total moment: 0.0 μB per formula unit. As for the calculated total energy: -8.239 eV/atom.

=====

First-principles (PBE) data for Sr2IrRu after structural relaxation, as listed in Alexandria. Values from VASP.

```
&SYSTEM
  ibrav = 0, nat = 4, ntyp = 3
/
ATOMIC_SPECIES
Sr 87.62 Sr.upf
Ir 192.22 Ir.upf
Ru 101.07 Ru.upf
ATOMIC_POSITIONS crystal
Sr 0.000 0.000 0.241
Sr 0.000 0.000 0.759
Ir 0.500 0.500 0.000
Ru 0.500 0.500 0.500
CELL_PARAMETERS angstrom
3.270 0.000 0.000
0.000 4.115 0.000
0.000 0.000 7.002
```

Properties
The calculation puts the volume at 23.56 Å³ per atom. The value obtained for the formation energy is 0.549 eV per atom. As for the total moment: 1.5 μB per formula unit. As for the calculated total energy: -4.826 eV/atom.

=====

First-principles (PBE) data for SrIrRu after structural relaxation, as listed in Alexandria. Values from VASP.

```
&SYSTEM
  ibrav = 0, nat = 12, ntyp = 3
/
ATOMIC_SPECIES
Sr 87.62 Sr.upf
Ir 192.22 Ir.upf
Ru 101.07 Ru.upf
ATOMIC_POSITIONS crystal
Sr 0.157 0.843 0.986
Sr 0.343 0.657 0.486
Sr 0.657 0.343 0.514
Sr 0.843 0.157 0.014
Ir 0.240 0.260 0.750
Ir 0.260 0.240 0.250
Ir 0.740 0.760 0.750
Ir 0.760 0.740 0.250
Ru 0.089 0.911 0.507
Ru 0.411 0.589 0.007
Ru 0.589 0.411 0.993
Ru 0.911 0.089 0.493
CELL_PARAMETERS angstrom
2.902 -6.944 0.000
2.902 6.944 0.000
0.000 0.000 7.148
```

Properties
The calculation puts the volume at 24.01 Å³ per atom. The value obtained for the formation energy is 0.362 eV per atom. As for the total moment: 1.3 μB per formula unit. As for the calculated total energy: -6.244 eV/atom.

=====

First-principles (PBE) data for SrIr2Ru after structural relaxation, as listed in Alexandria. Values from VASP.

```
&SYSTEM
  ibrav = 0, nat = 4, ntyp = 3
/
ATOMIC_SPECIES
Sr 87.62 Sr.upf
Ir 192.22 Ir.upf
Ru 101.07 Ru.upf
ATOMIC_POSITIONS crystal
Sr 0.000 0.000 0.000
Ir 0.250 0.750 0.500
Ir 0.750 0.250 0.500
Ru 0.500 0.500 0.000
CELL_PARAMETERS angstrom
-2.088 2.088 4.054
2.088 -2.088 4.054
2.088 2.088 -4.054
```

Properties
The calculation puts the volume at 17.67 Å³ per atom. The value obtained for the formation energy is 0.651 eV per atom. As for the total moment: 0.6 μB per formula unit. As for the calculated total energy: -6.519 eV/atom.

=====

First-principles (PBE) data for Sr2IrRu after structural relaxation, as listed in Alexandria. Values from VASP.

```
&SYSTEM
  ibrav = 0, nat = 4, ntyp = 3
/
ATOMIC_SPECIES
Sr 87.62 Sr.upf
Ir 192.22 Ir.upf
Ru 101.07 Ru.upf
ATOMIC_POSITIONS crystal
Sr 0.250 0.250 0.250
Sr 0.750 0.750 0.750
Ir 0.000 0.000 0.000
Ru 0.500 0.500 0.500
CELL_PARAMETERS angstrom
1.686 0.974 9.322
-1.686 0.974 9.322
0.000 -1.947 9.322
```

Properties
The calculation puts the volume at 22.96 Å³ per atom. The value obtained for the formation energy is 0.729 eV per atom. As for the total moment: 0.2 μB per formula unit. As for the calculated total energy: -4.646 eV/atom.

=====

First-principles (PBE) data for SrIr2Ru after structural relaxation, as listed in Alexandria. Values from VASP.

```
&SYSTEM
  ibrav = 0, nat = 4, ntyp = 3
/
ATOMIC_SPECIES
Sr 87.62 Sr.upf
Ir 192.22 Ir.upf
Ru 101.07 Ru.upf
ATOMIC_POSITIONS crystal
Sr 0.000 0.000 0.000
Ir 0.000 0.500 0.500
Ir 0.500 0.000 0.500
Ru 0.500 0.500 0.000
CELL_PARAMETERS angstrom
2.899 0.000 0.000
0.000 4.907 0.000
0.000 0.000 4.933
```

Properties
The calculation puts the volume at 17.54 Å³ per atom. The value obtained for the formation energy is 0.658 eV per atom. As for the total moment: 1.6 μB per formula unit. As for the calculated total energy: -6.512 eV/atom.

=====

First-principles (PBE) data for SrIr2Ru after structural relaxation, as listed in Alexandria. Values from VASP.

```
&SYSTEM
  ibrav = 0, nat = 4, ntyp = 3
/
ATOMIC_SPECIES
Sr 87.62 Sr.upf
Ir 192.22 Ir.upf
Ru 101.07 Ru.upf
ATOMIC_POSITIONS crystal
Sr 0.000 0.000 0.000
Ir 0.250 0.750 0.500
Ir 0.500 0.500 0.000
Ru 0.750 0.250 0.500
CELL_PARAMETERS angstrom
-2.078 2.078 4.079
2.078 -2.078 4.079
2.078 2.078 -4.079
```

Properties
The calculation puts the volume at 17.62 Å³ per atom. The value obtained for the formation energy is 0.656 eV per atom. As for the total moment: 0.0 μB per formula unit. As for the calculated total energy: -6.514 eV/atom.

=====

First-principles (PBE) data for SrIrRu after structural relaxation, as listed in Alexandria. Values from VASP.

```
&SYSTEM
  ibrav = 0, nat = 3, ntyp = 3
/
ATOMIC_SPECIES
Sr 87.62 Sr.upf
Ir 192.22 Ir.upf
Ru 101.07 Ru.upf
ATOMIC_POSITIONS crystal
Sr 0.000 0.000 0.000
Ir 0.250 0.250 0.250
Ru 0.750 0.750 0.750
CELL_PARAMETERS angstrom
0.000 3.265 3.265
3.265 0.000 3.265
3.265 3.265 0.000
```

Properties
The calculation puts the volume at 23.21 Å³ per atom. The value obtained for the formation energy is 1.728 eV per atom. As for the total moment: 2.0 μB per formula unit. As for the calculated total energy: -4.879 eV/atom.

=====

First-principles (PBE) data for Sr2IrRu after structural relaxation, as listed in Alexandria. Values from VASP.

```
&SYSTEM
  ibrav = 0, nat = 4, ntyp = 3
/
ATOMIC_SPECIES
Sr 87.62 Sr.upf
Ir 192.22 Ir.upf
Ru 101.07 Ru.upf
ATOMIC_POSITIONS crystal
Sr 0.000 0.000 0.000
Sr 0.172 0.172 0.172
Ir 0.753 0.753 0.753
Ru 0.419 0.419 0.419
CELL_PARAMETERS angstrom
2.136 1.233 8.316
-2.136 1.233 8.316
0.000 -2.466 8.316
```

Properties
The calculation puts the volume at 32.86 Å³ per atom. The value obtained for the formation energy is -0.039 eV per atom. As for the total moment: 0.0 μB per formula unit. As for the calculated total energy: -5.414 eV/atom.

=====

- Look up the total moment of the sixth one.
  1.3 μB per formula unit